# 1
Density functional theory data (PBE) for a relaxed structure of MgAgAsO4.

Cell: 5.324 5.324 5.491 Å, 119.00 119.00 90.00°
Element x y z (fractional)
O (0.349, 0.779, 0.257)
O (0.908, 0.478, 0.257)
O (0.522, 0.651, 0.743)
Ag (0.000, 0.000, 0.000)
O (0.221, 0.092, 0.743)
As (0.250, 0.750, 0.500)
Mg (0.500, 0.500, 0.000)

Results
Formation energy without anion corrections, eV per atom: -1.468
E_tot, Ry per atom: -0.41167
SG: I-4 (82)



# 2
Density functional theory data (PBE) for a relaxed structure of Sm2CoOs2.

Cell: 4.520 5.854 8.773 Å, 111.45 90.00 112.71°
Element x y z (fractional)
Os (0.077, 0.154, 0.654)
Os (0.961, 0.922, 0.847)
Os (0.923, 0.846, 0.346)
Co (0.295, 0.591, 0.280)
Co (0.705, 0.409, 0.720)
Sm (0.654, 0.307, 0.002)
Sm (0.626, 0.252, 0.397)
Sm (0.346, 0.693, 0.998)
Os (0.039, 0.078, 0.153)
Sm (0.374, 0.748, 0.603)

Results
E_tot, Ry per atom: -0.57886
Energy of formation, meV/atom: -75
SG: C2/m (12)



# 3
Density functional theory data (PBE) for a relaxed structure of PrNd2Dy12.

Cell: 6.431 6.431 25.115 Å, 90.00 90.00 90.00°
Element x y z (fractional)
Dy (0.500, 0.500, 0.783)
Dy (0.668, 0.168, 0.440)
Dy (0.500, 0.500, 0.659)
Nd (0.000, 0.500, 0.273)
Dy (0.315, 0.815, 0.118)
Dy (0.000, 0.000, 0.341)
Dy (0.685, 0.185, 0.118)
Dy (0.168, 0.668, 0.560)
Dy (0.315, 0.185, 0.882)
Dy (0.832, 0.668, 0.440)
Pr (0.500, 0.000, 0.000)
Nd (0.000, 0.500, 0.727)
Nd (0.500, 0.000, 0.727)
Dy (0.500, 0.500, 0.217)
Dy (0.000, 0.000, 0.659)
Dy (0.815, 0.315, 0.882)
Dy (0.668, 0.832, 0.560)
Dy (0.185, 0.685, 0.882)
Dy (0.168, 0.332, 0.440)
Nd (0.500, 0.000, 0.273)
Dy (0.332, 0.168, 0.560)
Dy (0.332, 0.832, 0.440)
Dy (0.185, 0.315, 0.118)
Dy (0.500, 0.500, 0.341)
Dy (0.815, 0.685, 0.118)
Dy (0.000, 0.000, 0.217)
Dy (0.832, 0.332, 0.560)
Dy (0.000, 0.000, 0.783)
Dy (0.685, 0.815, 0.882)
Pr (0.000, 0.500, 0.000)

Results
E_tot, Ry per atom: -0.31783
Energy of formation, meV/atom: 312
SG: P4/nbm (125)